# 1
LiHoThTe3: relaxed, GGA-PBE.

a b c (Å): 9.1474 4.1706 9.3992
angles (deg): 90.00 103.97 90.00
Closest atoms and distances in Å follow each position.
Sites, in units of the cell vectors:
Li: 0.0847 0.2500 0.0861  4 Te 2.70-2.79, 2 Li 2.86
Li: 0.9153 0.7500 0.9139  4 Te 2.70-2.79, 2 Li 2.86
Ho: 0.3336 0.7500 0.3585  6 Te 3.01-3.28
Ho: 0.6664 0.2500 0.6415  6 Te 3.01-3.28
Th: 0.1986 0.2500 0.7236  7 Te 3.16-3.30
Th: 0.8014 0.7500 0.2764  7 Te 3.16-3.30
Te: 0.0881 0.2500 0.3743  1 Li 2.70
Te: 0.2299 0.7500 0.9988  3 Li 2.70-2.79
Te: 0.4498 0.7500 0.6967  3 Ho 3.01-3.10, 2 Th 3.16
Te: 0.5502 0.2500 0.3033  3 Ho 3.01-3.10, 2 Th 3.16
Te: 0.7701 0.2500 0.0012  3 Li 2.70-2.79
Te: 0.9119 0.7500 0.6257  1 Li 2.70

Formation energy without anion corrections (eV/atom): -1.1156

# 2
NdPu2S4: relaxed, GGA-PBE.

a b c (Å): 6.8424 6.8424 13.1927
angles (deg): 90.00 90.00 146.64
Closest atoms and distances in Å follow each position.
Sites, in units of the cell vectors:
Nd: 0.1195 0.8805 0.7500  6 S 2.82-2.95
Nd: 0.8805 0.1195 0.2500  6 S 2.82-2.95
Pu: 0.3679 0.6321 0.5666  6 S 2.73-2.79
Pu: 0.3679 0.6321 0.9334  6 S 2.73-2.79
Pu: 0.6321 0.3679 0.0666  6 S 2.73-2.79
Pu: 0.6321 0.3679 0.4334  6 S 2.73-2.79
S: 0.0000 0.0000 0.0000  4 Pu 2.76
S: 0.0000 0.0000 0.5000  4 Pu 2.76
S: 0.2726 0.7274 0.1224  3 Pu 2.79, 2 Nd 2.95
S: 0.2726 0.7274 0.3776  3 Pu 2.79, 2 Nd 2.95
S: 0.4650 0.5350 0.7500  2 Pu 2.73, 2 Nd 2.82
S: 0.5350 0.4650 0.2500  2 Pu 2.73, 2 Nd 2.82
S: 0.7274 0.2726 0.6224  3 Pu 2.79, 2 Nd 2.95
S: 0.7274 0.2726 0.8776  3 Pu 2.79, 2 Nd 2.95

Formation energy without anion corrections (eV/atom): -1.8223